P) The following is a DFT calculation (PBE-GGA) of GeAsOsO after structural relaxation.

total magnetization	0.0	μB/f.u.
V	142.2	Å³/cell

```
GeAsOsO
1.0
3.796 0.000 0.000
0.000 5.590 0.000
0.000 0.000 6.703
Ge As Os O
2 2 2 2
direct
0.500 0.607 0.539
0.500 0.393 0.039
0.000 0.209 0.820
0.000 0.791 0.320
0.000 0.208 0.455
0.000 0.792 0.955
0.500 0.791 0.940
0.500 0.209 0.440
```

---

Q) The following is a DFT calculation (PBE-GGA) of GeAsOsO after structural relaxation.

total magnetization	0.0	μB/f.u.
V	122.1	Å³/cell

```
GeAsOsO
1.0
3.414 0.000 0.000
0.000 3.414 0.000
0.000 0.000 10.475
O Os As Ge
2 2 2 2
direct
0.500 0.500 0.000
0.000 0.000 0.000
0.000 0.500 0.875
0.500 0.000 0.125
0.500 0.000 0.752
0.000 0.500 0.248
0.500 0.500 0.500
0.000 0.000 0.500
```

---

Which structure wins on stability? P) wins.

---

P) The following is a DFT calculation (PBE-GGA) of PrGeAsO after structural relaxation.

total magnetization	0.0	μB/f.u.
V	181.6	Å³/cell

```
PrGeAsO
1.0
3.979 0.000 0.000
0.000 6.374 0.000
0.000 0.000 7.160
Ge Pr As O
2 2 2 2
direct
0.500 0.615 0.577
0.500 0.385 0.077
0.000 0.244 0.470
0.000 0.756 0.970
0.000 0.770 0.401
0.000 0.230 0.901
0.500 0.239 0.306
0.500 0.761 0.806
```

---

Q) The following is a DFT calculation (PBE-GGA) of PrGeAsO after structural relaxation.

total magnetization	0.0	μB/f.u.
V	165.8	Å³/cell

```
PrGeAsO
1.0
-3.242 -0.915 -2.554
2.313 -3.013 -1.857
-3.112 -6.191 6.169
Pr As Ge O
2 2 2 2
direct
0.500 0.000 0.120
0.000 0.500 0.880
0.500 0.000 0.691
0.000 0.500 0.309
0.500 0.500 0.500
0.000 0.000 0.500
0.000 0.000 0.000
0.500 0.500 0.000
```

---

Which structure wins on stability? Q) wins.

---

P) The following is a DFT calculation (PBE-GGA) of PrGeAsO after structural relaxation.

total magnetization	0.0	μB/f.u.
V	175.4	Å³/cell

```
PrGeAsO
1.0
5.962 0.000 0.000
0.000 5.962 0.000
0.000 0.000 4.935
Ge Pr O As
2 2 2 2
direct
0.250 0.250 0.003
0.750 0.750 0.997
0.750 0.250 0.500
0.250 0.750 0.500
0.250 0.750 0.000
0.750 0.250 0.000
0.250 0.250 0.503
0.750 0.750 0.497
```

---

Q) The following is a DFT calculation (PBE-GGA) of PrGeAsO after structural relaxation.

total magnetization	0.0	μB/f.u.
V	152.6	Å³/cell

```
PrGeAsO
1.0
4.437 0.000 0.000
0.000 5.104 0.000
0.000 0.000 6.737
Pr As Ge O
2 2 2 2
direct
0.500 0.285 0.593
0.500 0.715 0.093
0.000 0.372 0.286
0.000 0.628 0.786
0.000 0.852 0.445
0.000 0.148 0.945
0.500 0.141 0.930
0.500 0.859 0.430
```

---

Which structure wins on stability? Q) wins.

---

P) The following is a DFT calculation (PBE-GGA) of SmGeAsO after structural relaxation.

total magnetization	0.0	μB/f.u.
V	166.4	Å³/cell

```
SmGeAsO
1.0
5.822 0.000 0.000
0.000 5.822 0.000
0.000 0.000 4.909
As O Ge Sm
2 2 2 2
direct
0.250 0.250 0.498
0.750 0.750 0.502
0.250 0.750 0.000
0.750 0.250 0.000
0.750 0.750 0.002
0.250 0.250 0.998
0.750 0.250 0.500
0.250 0.750 0.500
```

---

Q) The following is a DFT calculation (PBE-GGA) of SmGeAsO after structural relaxation.

total magnetization	0.0	μB/f.u.
V	171.8	Å³/cell

```
SmGeAsO
1.0
-0.120 -3.243 2.190
-3.248 -2.856 -4.406
6.042 -2.247 -2.997
O As Sm Ge
2 2 2 2
direct
0.500 0.267 0.807
0.500 0.733 0.307
0.000 0.252 0.395
0.000 0.748 0.895
0.000 0.267 0.968
0.000 0.733 0.468
0.500 0.899 0.084
0.500 0.101 0.584
```

---

Which structure wins on stability? Q) wins.

---

P) The following is a DFT calculation (PBE-GGA) of SmGeAsO after structural relaxation.

total magnetization	0.0	μB/f.u.
V	159.9	Å³/cell

```
SmGeAsO
1.0
-3.443 -1.323 -1.905
-0.373 -3.050 2.792
-5.115 5.557 5.387
Sm O As Ge
2 2 2 2
direct
0.500 0.000 0.115
0.000 0.500 0.885
0.000 0.000 0.000
0.500 0.500 0.000
0.000 0.500 0.304
0.500 0.000 0.696
0.000 0.000 0.500
0.500 0.500 0.500
```

---

Q) The following is a DFT calculation (PBE-GGA) of SmGeAsO after structural relaxation.

total magnetization	0.0	μB/f.u.
V	156.4	Å³/cell

```
SmGeAsO
1.0
-4.398 0.515 -0.060
-0.586 -5.203 -1.709
-0.313 -1.967 6.097
As Sm Ge O
2 2 2 2
direct
0.000 0.090 0.791
0.000 0.910 0.291
0.500 0.238 0.090
0.500 0.762 0.590
0.000 0.356 0.460
0.000 0.644 0.960
0.500 0.404 0.413
0.500 0.596 0.913
```

---

Which structure wins on stability? P) wins.

---

P) The following is a DFT calculation (PBE-GGA) of TmGeAsO after structural relaxation.

total magnetization	0.0	μB/f.u.
V	152.2	Å³/cell

```
TmGeAsO
1.0
5.590 0.000 0.000
0.000 5.590 0.000
0.000 0.000 4.869
Tm O As Ge
2 2 2 2
direct
0.750 0.250 0.500
0.250 0.750 0.500
0.750 0.250 0.000
0.250 0.750 0.000
0.250 0.250 0.506
0.750 0.750 0.494
0.250 0.250 0.005
0.750 0.750 0.995
```

---

Q) The following is a DFT calculation (PBE-GGA) of TmGeAsO after structural relaxation.

total magnetization	0.0	μB/f.u.
V	144.5	Å³/cell

```
TmGeAsO
1.0
-0.451 4.112 -0.530
-5.591 -0.436 1.367
1.345 0.893 5.783
Ge As Tm O
2 2 2 2
direct
0.000 0.124 0.971
0.000 0.876 0.471
0.000 0.430 0.289
0.000 0.570 0.789
0.500 0.257 0.590
0.500 0.743 0.090
0.500 0.931 0.404
0.500 0.069 0.904
```

---

R) The following is a DFT calculation (PBE-GGA) of TmGeAsO after structural relaxation.

total magnetization	0.0	μB/f.u.
V	147.8	Å³/cell

```
TmGeAsO
1.0
3.914 0.000 0.000
0.000 3.914 0.000
0.000 0.000 9.650
Ge Tm As O
2 2 2 2
direct
0.000 0.000 0.500
0.500 0.500 0.500
0.500 0.000 0.108
0.000 0.500 0.892
0.000 0.500 0.288
0.500 0.000 0.712
0.000 0.000 0.000
0.500 0.500 0.000
```

---

S) The following is a DFT calculation (PBE-GGA) of TmGeAsO after structural relaxation.

total magnetization	0.0	μB/f.u.
V	177.7	Å³/cell

```
TmGeAsO
1.0
-3.335 1.832 0.156
0.175 -0.299 7.238
3.104 5.638 0.158
Tm As O Ge
2 2 2 2
direct
0.000 0.201 0.463
0.000 0.799 0.963
0.000 0.186 0.904
0.000 0.814 0.404
0.500 0.240 0.330
0.500 0.760 0.830
0.500 0.369 0.058
0.500 0.631 0.558
```

---

Which structure wins on stability? R) wins.

---

P) The following is a DFT calculation (PBE-GGA) of ZnGeAsO after structural relaxation.

V	151.4	Å³/cell

```
ZnGeAsO
1.0
-2.460 3.250 0.966
-2.489 -0.921 -3.241
-4.742 -5.102 5.092
Ge Zn O As
2 2 2 2
direct
0.750 0.250 0.500
0.250 0.750 0.500
0.750 0.750 0.009
0.250 0.250 0.991
0.750 0.250 0.000
0.250 0.750 0.000
0.250 0.250 0.669
0.750 0.750 0.331
```

---

Q) The following is a DFT calculation (PBE-GGA) of ZnGeAsO after structural relaxation.

V	130.6	Å³/cell

```
ZnGeAsO
1.0
3.704 0.000 0.000
0.000 3.704 0.000
0.000 0.000 9.521
Ge As Zn O
2 2 2 2
direct
0.000 0.500 0.892
0.500 0.000 0.108
0.500 0.000 0.682
0.000 0.500 0.318
0.500 0.500 0.500
0.000 0.000 0.500
0.500 0.500 0.000
0.000 0.000 0.000
```

---

R) The following is a DFT calculation (PBE-GGA) of ZnGeAsO after structural relaxation.

V	137.6	Å³/cell

```
ZnGeAsO
1.0
4.035 0.000 0.000
0.000 5.881 0.000
0.000 0.000 5.797
As Ge O Zn
2 2 2 2
direct
0.000 0.687 0.878
0.000 0.313 0.378
0.000 0.270 0.952
0.000 0.730 0.452
0.500 0.830 0.389
0.500 0.170 0.889
0.500 0.847 0.035
0.500 0.153 0.535
```

---

S) The following is a DFT calculation (PBE-GGA) of ZnGeAsO after structural relaxation.

V	144.4	Å³/cell

```
ZnGeAsO
1.0
3.644 0.000 0.000
0.000 6.145 0.000
0.000 0.000 6.449
As O Ge Zn
2 2 2 2
direct
0.000 0.645 0.850
0.000 0.355 0.350
0.500 0.886 0.400
0.500 0.114 0.900
0.500 0.836 0.027
0.500 0.164 0.527
0.000 0.266 0.976
0.000 0.734 0.476
```

---

Which structure wins on stability? R) wins.

---

P) The following is a DFT calculation (PBE-GGA) of ZrGeAsO after structural relaxation.

total magnetization	0.0	μB/f.u.
V	154.5	Å³/cell

```
ZrGeAsO
1.0
-3.404 -1.956 -0.133
1.831 -2.826 -5.324
2.533 -4.635 3.331
Zr Ge O As
2 2 2 2
direct
0.500 0.064 0.604
0.500 0.936 0.104
0.000 0.356 0.921
0.000 0.644 0.421
0.500 0.223 0.912
0.500 0.777 0.412
0.000 0.184 0.317
0.000 0.816 0.817
```

---

Q) The following is a DFT calculation (PBE-GGA) of ZrGeAsO after structural relaxation.

total magnetization	0.0	μB/f.u.
V	135.4	Å³/cell

```
ZrGeAsO
1.0
3.628 0.000 0.000
0.000 3.628 0.000
0.000 0.000 10.288
Ge O Zr As
2 2 2 2
direct
0.500 0.500 0.500
0.000 0.000 0.500
0.000 0.000 0.000
0.500 0.500 0.000
0.000 0.500 0.879
0.500 0.000 0.121
0.000 0.500 0.262
0.500 0.000 0.738
```

---

R) The following is a DFT calculation (PBE-GGA) of ZrGeAsO after structural relaxation.

total magnetization	0.0	μB/f.u.
V	147.3	Å³/cell

```
ZrGeAsO
1.0
-3.676 1.319 1.715
-2.095 -3.013 -2.174
1.024 -5.156 6.161
O As Zr Ge
2 2 2 2
direct
0.750 0.250 0.000
0.250 0.750 0.000
0.250 0.250 0.699
0.750 0.750 0.301
0.250 0.750 0.500
0.750 0.250 0.500
0.250 0.250 0.088
0.750 0.750 0.912
```

---

S) The following is a DFT calculation (PBE-GGA) of ZrGeAsO after structural relaxation.

total magnetization	0.0	μB/f.u.
V	164.2	Å³/cell

```
ZrGeAsO
1.0
3.828 0.000 0.000
0.000 7.872 0.000
0.000 0.000 5.448
O As Ge Zr
2 2 2 2
direct
0.500 0.270 0.885
0.500 0.730 0.385
0.000 0.707 0.896
0.000 0.293 0.396
0.500 0.892 0.069
0.500 0.108 0.569
0.000 0.362 0.904
0.000 0.638 0.404
```

---

Which structure wins on stability? Q) wins.